Entry 1:
{
  "formula": "PmLu2Sc",
  "functional": "GGA-PBE",
  "state": "relaxed",
  "space_group": "R-3m, No. 166",
  "e_form_kj_per_mol_atoms": 5,
  "crystal_system": "trigonal",
  "total_energy_ha_per_atom": -0.183,
  "dos_at_fermi_per_ev_cell": 6.2,
  "polymorph_energy_kj_per_mol_atoms": 0.1,
  "cell": [[-0.665, -1.641, -2.988], [2.572, -1.566, -1.731], [-1.334, -10.536, 4.065]],
  "species": ["Sc", "Lu", "Lu", "Pm"],
  "fractional_positions": [[0.000, 0.000, 0.000], [0.746, 0.746, 0.761], [0.254, 0.254, 0.239], [0.500, 0.500, 0.500]]
}



Entry 2:
{
  "formula": "Pm2LuSc",
  "functional": "GGA-PBE",
  "state": "relaxed",
  "space_group": "Fm-3m, No. 225",
  "e_form_kj_per_mol_atoms": 8,
  "crystal_system": "cubic",
  "total_energy_ha_per_atom": -0.184,
  "dos_at_fermi_per_ev_cell": 5.9,
  "polymorph_energy_kj_per_mol_atoms": 4.4,
  "cell": [[-5.376, 1.472, -0.087], [-3.956, -3.847, 0.792], [-2.970, -0.013, 4.717]],
  "species": ["Sc", "Lu", "Pm", "Pm"],
  "fractional_positions": [[0.500, 0.500, 0.500], [0.000, 0.000, 0.000], [0.250, 0.250, 0.250], [0.750, 0.750, 0.750]]
}



Entry 3:
{
  "formula": "PmLu2Sc",
  "functional": "GGA-PBE",
  "state": "relaxed",
  "space_group": "P4/mmm, No. 123",
  "e_form_kj_per_mol_atoms": 5,
  "crystal_system": "tetragonal",
  "total_energy_ha_per_atom": -0.183,
  "dos_at_fermi_per_ev_cell": 6.9,
  "polymorph_energy_kj_per_mol_atoms": 0.0,
  "cell": [[4.941, 0.000, 0.000], [0.000, 4.867, 0.000], [0.000, 0.000, 4.867]],
  "species": ["Sc", "Lu", "Lu", "Pm"],
  "fractional_positions": [[0.500, 0.000, 0.000], [0.000, 0.000, 0.500], [0.000, 0.500, 0.000], [0.500, 0.500, 0.500]]
}



Entry 4:
{
  "formula": "Pm2LuSc",
  "functional": "GGA-PBE",
  "state": "relaxed",
  "space_group": "P4/mmm, No. 123",
  "e_form_kj_per_mol_atoms": 4,
  "crystal_system": "tetragonal",
  "total_energy_ha_per_atom": -0.185,
  "dos_at_fermi_per_ev_cell": 6.4,
  "polymorph_energy_kj_per_mol_atoms": 0.3,
  "cell": [[-2.512, 4.000, 0.867], [-2.002, -2.143, 4.088], [3.792, 1.777, 2.789]],
  "species": ["Sc", "Lu", "Pm", "Pm"],
  "fractional_positions": [[0.500, 0.000, 0.000], [0.500, 0.500, 0.500], [0.000, 0.000, 0.500], [0.000, 0.500, 0.000]]
}



Entry 5:
{
  "formula": "PmLu2Sc",
  "functional": "GGA-PBE",
  "state": "relaxed",
  "space_group": "P4/mmm, No. 123",
  "e_form_kj_per_mol_atoms": 8,
  "crystal_system": "tetragonal",
  "total_energy_ha_per_atom": -0.182,
  "dos_at_fermi_per_ev_cell": 6.6,
  "polymorph_energy_kj_per_mol_atoms": 3.2,
  "cell": [[3.811, 0.000, 0.000], [0.000, 3.811, 0.000], [0.000, 0.000, 8.224]],
  "species": ["Sc", "Lu", "Lu", "Pm"],
  "fractional_positions": [[0.500, 0.500, 0.000], [0.000, 0.000, 0.783], [0.000, 0.000, 0.217], [0.500, 0.500, 0.500]]
}



Entry 6:
{
  "formula": "PmSmLuSc",
  "functional": "GGA-PBE",
  "state": "relaxed",
  "space_group": "F-43m, No. 216",
  "e_form_kj_per_mol_atoms": 8,
  "crystal_system": "cubic",
  "total_energy_ha_per_atom": -0.183,
  "dos_at_fermi_per_ev_cell": 5.8,
  "cell": [[5.565, 0.000, 0.000], [2.782, 4.819, 0.000], [2.782, 1.606, 4.543]],
  "species": ["Sc", "Lu", "Sm", "Pm"],
  "fractional_positions": [[0.000, 0.000, 0.000], [0.500, 0.500, 0.500], [0.750, 0.750, 0.750], [0.250, 0.250, 0.250]]
}



Entry 7:
{
  "formula": "TbPmLuSc",
  "functional": "GGA-PBE",
  "state": "relaxed",
  "space_group": "F-43m, No. 216",
  "e_form_kj_per_mol_atoms": 9,
  "crystal_system": "cubic",
  "total_energy_ha_per_atom": -0.182,
  "dos_at_fermi_per_ev_cell": 5.8,
  "cell": [[5.541, 0.000, 0.000], [2.770, 4.799, 0.000], [2.770, 1.600, 4.524]],
  "species": ["Sc", "Lu", "Tb", "Pm"],
  "fractional_positions": [[0.000, 0.000, 0.000], [0.500, 0.500, 0.500], [0.250, 0.250, 0.250], [0.750, 0.750, 0.750]]
}



Entry 8:
{
  "formula": "PmLuThSc",
  "functional": "GGA-PBE",
  "state": "relaxed",
  "space_group": "F-43m, No. 216",
  "e_form_kj_per_mol_atoms": 9,
  "crystal_system": "cubic",
  "total_energy_ha_per_atom": -0.208,
  "dos_at_fermi_per_ev_cell": 6.9,
  "cell": [[5.545, 0.000, 0.000], [2.773, 4.803, 0.000], [2.773, 1.601, 4.528]],
  "species": ["Sc", "Lu", "Th", "Pm"],
  "fractional_positions": [[0.000, 0.000, 0.000], [0.500, 0.500, 0.500], [0.250, 0.250, 0.250], [0.750, 0.750, 0.750]]
}



Entry 9:
{
  "formula": "PmYLuSc",
  "functional": "GGA-PBE",
  "state": "relaxed",
  "space_group": "F-43m, No. 216",
  "e_form_kj_per_mol_atoms": 9,
  "crystal_system": "cubic",
  "total_energy_ha_per_atom": -0.199,
  "dos_at_fermi_per_ev_cell": 5.7,
  "cell": [[-2.777, -2.191, 4.273], [0.949, -5.248, 1.527], [2.633, -1.070, 4.764]],
  "species": ["Y", "Sc", "Lu", "Pm"],
  "fractional_positions": [[0.750, 0.750, 0.750], [0.000, 0.000, 0.000], [0.500, 0.500, 0.500], [0.250, 0.250, 0.250]]
}



Entry 10:
{
  "formula": "PmLuZrSc",
  "functional": "GGA-PBE",
  "state": "relaxed",
  "space_group": "F-43m, No. 216",
  "e_form_kj_per_mol_atoms": 17,
  "crystal_system": "cubic",
  "total_energy_ha_per_atom": -0.216,
  "dos_at_fermi_per_ev_cell": 9.2,
  "cell": [[5.355, 0.000, 0.000], [2.678, 4.638, 0.000], [2.678, 1.546, 4.373]],
  "species": ["Sc", "Lu", "Zr", "Pm"],
  "fractional_positions": [[0.000, 0.000, 0.000], [0.500, 0.500, 0.500], [0.750, 0.750, 0.750], [0.250, 0.250, 0.250]]
}



Entry 11:
{
  "formula": "PmLu2Si",
  "functional": "GGA-PBE",
  "state": "relaxed",
  "space_group": "P4/mmm, No. 123",
  "e_form_raw_ev_per_atom": -0.235,
  "crystal_system": "tetragonal",
  "total_energy_ha_per_atom": -0.185,
  "dos_at_fermi_per_ev_cell": 4.2,
  "cell": [[-3.436, 2.355, 1.986], [0.390, -2.620, 3.782], [3.058, 2.984, 1.752]],
  "species": ["Si", "Lu", "Lu", "Pm"],
  "fractional_positions": [[0.500, 0.000, 0.000], [0.000, 0.000, 0.500], [0.000, 0.500, 0.000], [0.500, 0.500, 0.500]]
}



Entry 12:
{
  "formula": "PmSmLu",
  "functional": "GGA-PBE",
  "state": "relaxed",
  "space_group": "I4mm, No. 107",
  "e_form_kj_per_mol_atoms": 3,
  "crystal_system": "tetragonal",
  "total_energy_ha_per_atom": -0.170,
  "dos_at_fermi_per_ev_cell": 4.7,
  "polymorph_energy_kj_per_mol_atoms": 0.0,
  "cell": [[3.586, 0.000, 0.000], [0.000, 3.586, 0.000], [-1.793, -1.793, 7.582]],
  "species": ["Lu", "Sm", "Pm"],
  "fractional_positions": [[0.666, 0.666, 0.333], [0.002, 0.002, 0.005], [0.331, 0.331, 0.662]]
}